No. 1
The following is a DFT calculation (SCAN) of CoIr3 at its PBEsol-relaxed geometry.

Summary:
Formation enthalpy at 0 K   -5 meV per atom
DFT total energy   -57.6559 eV per atom
Size of the total moment   4.3 μB/cell
SG   C2/m

Lattice parameters (Å, degrees): 8.774 2.678 4.580 90.00 100.48 90.00
Fractional positions:
Co 0.000 0.000 0.000
Co 0.500 0.500 0.000
Ir 0.000 0.500 0.500
Ir 0.248 0.500 0.245
Ir 0.252 0.000 0.755
Ir 0.500 0.000 0.500
Ir 0.748 0.000 0.245
Ir 0.752 0.500 0.755

---

No. 2
The following is a DFT calculation (SCAN) of YCo2Re at its PBEsol-relaxed geometry.

Summary:
Formation enthalpy at 0 K   337 meV per atom
DFT total energy   -33.0503 eV per atom
Size of the total moment   4.3 μB/cell
Energy above the most stable polymorph in this dataset   15 kJ/mol of formula units
SG   Cm

Lattice parameters (Å, degrees): 8.640 2.869 4.933 90.00 101.09 90.00
Fractional positions:
Y 0.000 0.000 0.000
Y 0.500 0.500 0.000
Co 0.006 0.500 0.501
Co 0.238 0.000 0.745
Co 0.506 0.000 0.501
Co 0.738 0.500 0.745
Re 0.275 0.500 0.375
Re 0.775 0.000 0.375

---

No. 3
The following is a DFT calculation (SCAN) of K3BaLi at its PBEsol-relaxed geometry.

Summary:
Formation enthalpy at 0 K   656 meV per atom
DFT total energy   -12.7292 eV per atom
Size of the total moment   1.7 μB/cell
SG   Pm-3m

Lattice parameters (Å, degrees): 7.812 7.812 7.812 90.00 90.00 90.00
Fractional positions:
K 0.000 0.000 0.500
K 0.000 0.500 0.000
K 0.500 0.000 0.000
Ba 0.000 0.000 0.000
Li 0.500 0.500 0.500

---

No. 4
The following is a DFT calculation (SCAN) of ZrTlP3 at its PBEsol-relaxed geometry.

Summary:
Formation enthalpy at 0 K   1251 meV per atom
DFT total energy   -25.5995 eV per atom
Size of the total moment   0.0 μB/cell
SG   Pm-3m

Lattice parameters (Å, degrees): 4.870 4.870 4.870 90.00 90.00 90.00
Fractional positions:
Zr 0.000 0.000 0.000
Tl 0.500 0.500 0.500
P 0.000 0.500 0.500
P 0.500 0.000 0.500
P 0.500 0.500 0.000

---

No. 5
The following is a DFT calculation (SCAN) of Fe3SiPb at its PBEsol-relaxed geometry.

Summary:
DFT total energy   -26.2930 eV per atom
Size of the total moment   8.6 μB/cell
SG   Pm-3m

Lattice parameters (Å, degrees): 4.768 4.768 4.768 90.00 90.00 90.00
Fractional positions:
Fe 0.000 0.000 0.500
Fe 0.000 0.500 0.000
Fe 0.500 0.000 0.000
Si 0.500 0.500 0.500
Pb 0.000 0.000 0.000

---

No. 6
The following is a DFT calculation (SCAN) of NbAuN2O at its PBEsol-relaxed geometry.

Summary:
DFT total energy   -24.1872 eV per atom
Size of the total moment   0.9 μB/cell
SG   P4/mmm

Lattice parameters (Å, degrees): 3.921 3.921 3.930 90.00 90.00 90.00
Fractional positions:
Nb 0.000 0.000 0.000
Au 0.500 0.500 0.500
N 0.000 0.500 0.500
N 0.500 0.000 0.500
O 0.500 0.500 0.000

---

No. 7
The following is a DFT calculation (SCAN) of ScCdCu2 at its PBEsol-relaxed geometry.

Summary:
Formation enthalpy at 0 K   -242 meV per atom
DFT total energy   -19.0045 eV per atom
Size of the total moment   0.0 μB/cell
SG   Fm-3m

Lattice parameters (Å, degrees): 6.291 6.291 6.291 90.00 90.00 90.00
Fractional positions:
Sc 0.000 0.000 0.000
Sc 0.000 0.500 0.500
Sc 0.500 0.000 0.500
Sc 0.500 0.500 0.000
Cd 0.000 0.000 0.500
Cd 0.000 0.500 0.000
Cd 0.500 0.000 0.000
Cd 0.500 0.500 0.500
Cu 0.250 0.250 0.250
Cu 0.250 0.250 0.750
Cu 0.250 0.750 0.250
Cu 0.250 0.750 0.750
Cu 0.750 0.250 0.250
Cu 0.750 0.250 0.750
Cu 0.750 0.750 0.250
Cu 0.750 0.750 0.750

---

No. 8
The following is a DFT calculation (SCAN) of TeIr2 at its PBEsol-relaxed geometry.

Summary:
DFT total energy   -59.5331 eV per atom
Size of the total moment   0.0 μB/cell
SG   I4/mcm

Lattice parameters (Å, degrees): 5.170 5.170 8.168 90.00 90.00 90.00
Fractional positions:
Te 0.000 0.000 0.250
Te 0.000 0.000 0.750
Te 0.500 0.500 0.250
Te 0.500 0.500 0.750
Ir 0.179 0.321 0.000
Ir 0.179 0.679 0.500
Ir 0.321 0.179 0.500
Ir 0.321 0.821 0.000
Ir 0.679 0.179 0.000
Ir 0.679 0.821 0.500
Ir 0.821 0.321 0.500
Ir 0.821 0.679 0.000

---

No. 9
The following is a DFT calculation (SCAN) of Ba2MgB at its PBEsol-relaxed geometry.

Summary:
Formation enthalpy at 0 K   631 meV per atom
DFT total energy   -22.2448 eV per atom
Size of the total moment   0.0 μB/cell
SG   Fm-3m

Lattice parameters (Å, degrees): 7.863 7.863 7.863 90.00 90.00 90.00
Fractional positions:
Ba 0.250 0.250 0.250
Ba 0.250 0.250 0.750
Ba 0.250 0.750 0.250
Ba 0.250 0.750 0.750
Ba 0.750 0.250 0.250
Ba 0.750 0.250 0.750
Ba 0.750 0.750 0.250
Ba 0.750 0.750 0.750
Mg 0.000 0.000 0.000
Mg 0.000 0.500 0.500
Mg 0.500 0.000 0.500
Mg 0.500 0.500 0.000
B 0.000 0.000 0.500
B 0.000 0.500 0.000
B 0.500 0.000 0.000
B 0.500 0.500 0.500

---

No. 10
The following is a DFT calculation (SCAN) of MoIrOs2 at its PBEsol-relaxed geometry.

Summary:
Formation enthalpy at 0 K   506 meV per atom
DFT total energy   -61.9303 eV per atom
Size of the total moment   0.0 μB/cell
Energy above the most stable polymorph in this dataset   253 kJ/mol of formula units
SG   Fm-3m

Lattice parameters (Å, degrees): 6.156 6.156 6.156 90.00 90.00 90.00
Fractional positions:
Mo 0.000 0.000 0.000
Mo 0.000 0.500 0.500
Mo 0.500 0.000 0.500
Mo 0.500 0.500 0.000
Ir 0.000 0.000 0.500
Ir 0.000 0.500 0.000
Ir 0.500 0.000 0.000
Ir 0.500 0.500 0.500
Os 0.250 0.250 0.250
Os 0.250 0.250 0.750
Os 0.250 0.750 0.250
Os 0.250 0.750 0.750
Os 0.750 0.250 0.250
Os 0.750 0.250 0.750
Os 0.750 0.750 0.250
Os 0.750 0.750 0.750

---

No. 11
The following is a DFT calculation (SCAN) of Ba6Y2Al4O15 at its PBEsol-relaxed geometry.

Summary:
DFT total energy   -18.8053 eV per atom
Size of the total moment   0.0 μB/cell
SG   P2/c

Lattice parameters (Å, degrees): 7.832 5.888 18.292 90.00 91.63 90.00
Fractional positions:
Ba 0.000 0.177 0.250
Ba 0.000 0.823 0.750
Ba 0.001 0.255 0.919
Ba 0.001 0.745 0.419
Ba 0.471 0.248 0.910
Ba 0.471 0.752 0.410
Ba 0.500 0.226 0.250
Ba 0.500 0.774 0.750
Ba 0.529 0.248 0.590
Ba 0.529 0.752 0.090
Ba 0.999 0.255 0.581
Ba 0.999 0.745 0.081
Y 0.253 0.249 0.090
Y 0.253 0.751 0.590
Y 0.747 0.249 0.410
Y 0.747 0.751 0.910
Al 0.253 0.247 0.443
Al 0.253 0.753 0.943
Al 0.278 0.268 0.732
Al 0.278 0.732 0.232
Al 0.722 0.268 0.768
Al 0.722 0.732 0.268
Al 0.747 0.247 0.057
Al 0.747 0.753 0.557
O 0.038 0.254 0.408
O 0.038 0.746 0.908
O 0.191 0.175 0.814
O 0.191 0.825 0.314
O 0.227 0.473 0.189
O 0.227 0.527 0.689
O 0.255 0.047 0.666
O 0.255 0.953 0.166
O 0.264 0.484 0.505
O 0.264 0.516 0.005
O 0.265 0.003 0.998
O 0.265 0.997 0.498
O 0.446 0.263 0.393
O 0.446 0.737 0.893
O 0.500 0.292 0.750
O 0.500 0.708 0.250
O 0.554 0.263 0.107
O 0.554 0.737 0.607
O 0.735 0.003 0.502
O 0.735 0.997 0.002
O 0.736 0.484 0.995
O 0.736 0.516 0.495
O 0.745 0.047 0.834
O 0.745 0.953 0.334
O 0.773 0.473 0.311
O 0.773 0.527 0.811
O 0.809 0.175 0.686
O 0.809 0.825 0.186
O 0.962 0.254 0.092
O 0.962 0.746 0.592

---

No. 12
The following is a DFT calculation (SCAN) of TlNiTe2 at its PBEsol-relaxed geometry.

Summary:
DFT total energy   -40.2232 eV per atom
Size of the total moment   0.0 μB/cell
SG   Pmmm

Lattice parameters (Å, degrees): 3.797 4.642 5.290 90.00 90.00 90.00
Fractional positions:
Tl 0.000 0.000 0.000
Ni 0.500 0.000 0.500
Te 0.000 0.500 0.500
Te 0.500 0.500 0.000

---

No. 13
The following is a DFT calculation (SCAN) of SrLiAlPd2 at its PBEsol-relaxed geometry.

Summary:
Formation enthalpy at 0 K   -408 meV per atom
DFT total energy   -20.0011 eV per atom
Size of the total moment   0.0 μB/cell
SG   P4/mmm

Lattice parameters (Å, degrees): 4.727 4.727 4.757 90.00 90.00 90.00
Fractional positions:
Sr 0.000 0.000 0.000
Li 0.500 0.500 0.000
Al 0.500 0.500 0.500
Pd 0.000 0.500 0.500
Pd 0.500 0.000 0.500

---

No. 14
The following is a DFT calculation (SCAN) of RbPb3Au at its PBEsol-relaxed geometry.

Summary:
Formation enthalpy at 0 K   83 meV per atom
DFT total energy   -63.3650 eV per atom
Size of the total moment   0.0 μB/cell
SG   Pm-3m

Lattice parameters (Å, degrees): 5.630 5.630 5.630 90.00 90.00 90.00
Fractional positions:
Rb 0.000 0.000 0.000
Pb 0.000 0.500 0.500
Pb 0.500 0.000 0.500
Pb 0.500 0.500 0.000
Au 0.500 0.500 0.500

---

No. 15
The following is a DFT calculation (SCAN) of Co2Re at its PBEsol-relaxed geometry.

Summary:
Formation enthalpy at 0 K   104 meV per atom
DFT total energy   -35.1311 eV per atom
Size of the total moment   1.2 μB/cell
Energy above the most stable polymorph in this dataset   3 kJ/mol of formula units
SG   Pnma

Lattice parameters (Å, degrees): 4.395 4.054 7.678 90.00 90.00 90.00
Fractional positions:
Co 0.167 0.250 0.001
Co 0.175 0.250 0.668
Co 0.325 0.750 0.168
Co 0.333 0.750 0.501
Co 0.667 0.250 0.499
Co 0.675 0.250 0.832
Co 0.825 0.750 0.332
Co 0.833 0.750 0.999
Re 0.169 0.250 0.344
Re 0.331 0.750 0.844
Re 0.669 0.250 0.156
Re 0.831 0.750 0.656

---

No. 16
The following is a DFT calculation (SCAN) of CoTcIr2 at its PBEsol-relaxed geometry.

Summary:
Formation enthalpy at 0 K   -29 meV per atom
DFT total energy   -48.6698 eV per atom
Size of the total moment   2.3 μB/cell
Energy above the most stable polymorph in this dataset   38 kJ/mol of formula units
SG   Cmmm

Lattice parameters (Å, degrees): 5.302 7.436 2.660 90.00 90.00 90.00
Fractional positions:
Co 0.000 0.000 0.000
Co 0.500 0.500 0.000
Tc 0.000 0.500 0.000
Tc 0.500 0.000 0.000
Ir 0.250 0.250 0.500
Ir 0.250 0.750 0.500
Ir 0.750 0.250 0.500
Ir 0.750 0.750 0.500

---

No. 17
The following is a DFT calculation (SCAN) of Co2TeCl at its PBEsol-relaxed geometry.

Summary:
DFT total energy   -19.9129 eV per atom
Size of the total moment   9.0 μB/cell
SG   R-3m

Lattice parameters (Å, degrees): 3.268 3.268 20.112 90.00 90.00 120.00
Fractional positions:
Co 0.000 0.000 0.249
Co 0.000 0.000 0.751
Co 0.333 0.667 0.417
Co 0.333 0.667 0.916
Co 0.667 0.333 0.084
Co 0.667 0.333 0.583
Te 0.000 0.000 0.500
Te 0.333 0.667 0.167
Te 0.667 0.333 0.833
Cl 0.000 0.000 0.000
Cl 0.333 0.667 0.667
Cl 0.667 0.333 0.333

---

No. 18
The following is a DFT calculation (SCAN) of U4Re7Si6 at its PBEsol-relaxed geometry.

Summary:
DFT total energy   -57.5939 eV per atom
Size of the total moment   0.0 μB/cell
SG   Im-3m

Lattice parameters (Å, degrees): 7.070 7.070 7.070 109.47 109.47 109.47
Fractional positions:
U 0.000 0.000 0.500
U 0.000 0.500 0.000
U 0.500 0.000 0.000
U 0.500 0.500 0.500
Re 0.000 0.000 0.000
Re 0.250 0.500 0.750
Re 0.250 0.750 0.500
Re 0.500 0.250 0.750
Re 0.500 0.750 0.250
Re 0.750 0.250 0.500
Re 0.750 0.500 0.250
Si 0.000 0.309 0.309
Si 0.000 0.691 0.691
Si 0.309 0.000 0.309
Si 0.309 0.309 0.000
Si 0.691 0.000 0.691
Si 0.691 0.691 0.000

---

No. 19
The following is a DFT calculation (SCAN) of LiAg2Pb at its PBEsol-relaxed geometry.

Summary:
Formation enthalpy at 0 K   -127 meV per atom
DFT total energy   -35.3536 eV per atom
Size of the total moment   0.0 μB/cell
SG   I-4m2

Lattice parameters (Å, degrees): 4.429 4.429 7.559 90.00 90.00 90.00
Fractional positions:
Li 0.000 0.000 0.000
Li 0.500 0.500 0.500
Ag 0.000 0.000 0.500
Ag 0.000 0.500 0.750
Ag 0.500 0.000 0.250
Ag 0.500 0.500 0.000
Pb 0.000 0.500 0.250
Pb 0.500 0.000 0.750

---

No. 20
The following is a DFT calculation (SCAN) of K2Tc3S6 at its PBEsol-relaxed geometry.

Summary:
DFT total energy   -17.3185 eV per atom
Size of the total moment   0.0 μB/cell
SG   C2/c

Lattice parameters (Å, degrees): 9.484 9.484 11.769 91.20 91.20 60.98
Fractional positions:
K 0.102 0.898 0.750
K 0.144 0.622 0.979
K 0.287 0.713 0.250
K 0.378 0.856 0.521
K 0.622 0.144 0.479
K 0.713 0.287 0.750
K 0.856 0.378 0.021
K 0.898 0.102 0.250
Tc 0.029 0.385 0.631
Tc 0.104 0.311 0.417
Tc 0.192 0.496 0.526
Tc 0.311 0.104 0.917
Tc 0.385 0.029 0.131
Tc 0.496 0.192 0.026
Tc 0.504 0.808 0.974
Tc 0.615 0.971 0.869
Tc 0.689 0.896 0.083
Tc 0.808 0.504 0.474
Tc 0.896 0.689 0.583
Tc 0.971 0.615 0.369
S 0.056 0.777 0.480
S 0.060 0.236 0.806
S 0.111 0.561 0.718
S 0.218 0.296 0.071
S 0.223 0.944 0.020
S 0.236 0.060 0.306
S 0.246 0.425 0.332
S 0.296 0.218 0.571
S 0.425 0.246 0.832
S 0.439 0.889 0.782
S 0.442 0.500 0.575
S 0.500 0.442 0.075
S 0.500 0.558 0.925
S 0.558 0.500 0.425
S 0.561 0.111 0.218
S 0.575 0.754 0.168
S 0.704 0.782 0.429
S 0.754 0.575 0.668
S 0.764 0.940 0.694
S 0.777 0.056 0.980
S 0.782 0.704 0.929
S 0.889 0.439 0.282
S 0.940 0.764 0.194
S 0.944 0.223 0.520